# 1
Density functional theory data (PBE) for an optimized crystal structure of KDyCdCl6.

Properties
Total moment: 0.0 μB per formula unit

a = 6.9315 Å, b = 6.9315 Å, c = 13.8374 Å
α = 90.00°, β = 90.00°, γ = 120.00°
With the nearest neighbours (Å) after each atom.
Sites, in units of the cell vectors:
K1 0.0000 0.0000 0.0000  6 Cl 3.22
K2 0.0000 0.0000 0.5000  6 Cl 3.22
Dy1 0.3333 0.6667 0.2500  6 Cl 2.66
Dy2 0.6667 0.3333 0.7500  6 Cl 2.66
Cd1 0.3333 0.6667 0.7500  6 Cl 2.67
Cd2 0.6667 0.3333 0.2500  6 Cl 2.67
Cl1 0.0014 0.3723 0.1402  1 Dy 2.66, 1 Cd 2.67
Cl2 0.0014 0.6291 0.3598  1 Dy 2.66, 1 Cd 2.67
Cl3 0.3709 0.3723 0.3598  1 Dy 2.66, 1 Cd 2.67
Cl4 0.3709 0.9986 0.1402  1 Dy 2.66, 1 Cd 2.67
Cl5 0.3723 0.0014 0.6402  1 Dy 2.66, 1 Cd 2.67
Cl6 0.3723 0.3709 0.8598  1 Dy 2.66, 1 Cd 2.67
Cl7 0.6277 0.6291 0.1402  1 Dy 2.66, 1 Cd 2.67
Cl8 0.6277 0.9986 0.3598  1 Dy 2.66, 1 Cd 2.67
Cl9 0.6291 0.0014 0.8598  1 Dy 2.66, 1 Cd 2.67
Cl10 0.6291 0.6277 0.6402  1 Dy 2.66, 1 Cd 2.67
Cl11 0.9986 0.3709 0.6402  1 Dy 2.66, 1 Cd 2.67
Cl12 0.9986 0.6277 0.8598  1 Dy 2.66, 1 Cd 2.67



# 2
Density functional theory data (PBE) for an optimized crystal structure of LiDyCdCl6.

Properties
Total moment: 0.0 μB per formula unit

a = 6.6837 Å, b = 6.6837 Å, c = 11.9542 Å
α = 90.00°, β = 90.00°, γ = 120.00°
With the nearest neighbours (Å) after each atom.
Sites, in units of the cell vectors:
Li1 0.0000 0.0000 0.0000  6 Cl 2.71
Li2 0.0000 0.0000 0.5000  6 Cl 2.71
Dy1 0.3333 0.6667 0.2500  6 Cl 2.66
Dy2 0.6667 0.3333 0.7500  6 Cl 2.66
Cd1 0.3333 0.6667 0.7500  6 Cl 2.67
Cd2 0.6667 0.3333 0.2500  6 Cl 2.67
Cl1 0.0020 0.3389 0.1257  1 Dy 2.66, 1 Cd 2.67, 1 Li 2.71
Cl2 0.0020 0.6631 0.3743  1 Dy 2.66, 1 Cd 2.67, 1 Li 2.71
Cl3 0.3369 0.3389 0.3743  1 Dy 2.66, 1 Cd 2.67, 1 Li 2.71
Cl4 0.3369 0.9980 0.1257  1 Dy 2.66, 1 Cd 2.67, 1 Li 2.71
Cl5 0.3389 0.0020 0.6257  1 Dy 2.66, 1 Cd 2.67, 1 Li 2.71
Cl6 0.3389 0.3369 0.8743  1 Dy 2.66, 1 Cd 2.67, 1 Li 2.71
Cl7 0.6611 0.6631 0.1257  1 Dy 2.66, 1 Cd 2.67, 1 Li 2.71
Cl8 0.6611 0.9980 0.3743  1 Dy 2.66, 1 Cd 2.67, 1 Li 2.71
Cl9 0.6631 0.0020 0.8743  1 Dy 2.66, 1 Cd 2.67, 1 Li 2.71
Cl10 0.6631 0.6611 0.6257  1 Dy 2.66, 1 Cd 2.67, 1 Li 2.71
Cl11 0.9980 0.3369 0.6257  1 Dy 2.66, 1 Cd 2.67, 1 Li 2.71
Cl12 0.9980 0.6611 0.8743  1 Dy 2.66, 1 Cd 2.67, 1 Li 2.71



# 3
Density functional theory data (PBE) for an optimized crystal structure of NaDyCd2Cl8.

Properties
Total moment: 0.0 μB per formula unit

a = 6.1842 Å, b = 8.0955 Å, c = 6.4548 Å
α = 90.00°, β = 90.09°, γ = 90.00°
With the nearest neighbours (Å) after each atom.
Sites, in units of the cell vectors:
Na1 0.0000 0.0000 0.0000  6 Cl 2.78-2.80
Dy1 0.0000 0.5000 0.0000  6 Cl 2.63-2.72
Cd1 0.5000 0.2414 0.5000  6 Cl 2.61-2.75
Cd2 0.5000 0.7586 0.5000  6 Cl 2.61-2.75
Cl1 0.2311 0.2638 0.1720  1 Dy 2.63, 1 Cd 2.70, 1 Na 2.80
Cl2 0.2311 0.7362 0.1720  1 Dy 2.63, 1 Cd 2.70, 1 Na 2.80
Cl3 0.2728 0.5000 0.6699  1 Dy 2.72, 2 Cd 2.75
Cl4 0.2760 0.0000 0.6599  2 Cd 2.61, 1 Na 2.78
Cl5 0.7240 0.0000 0.3401  2 Cd 2.61, 1 Na 2.78
Cl6 0.7272 0.5000 0.3301  1 Dy 2.72, 2 Cd 2.75
Cl7 0.7689 0.2638 0.8280  1 Dy 2.63, 1 Cd 2.70, 1 Na 2.80
Cl8 0.7689 0.7362 0.8280  1 Dy 2.63, 1 Cd 2.70, 1 Na 2.80



# 4
Density functional theory data (PBE) for an optimized crystal structure of Rb2DyCdCl6.

Properties
Total moment: 0.6 μB per formula unit

a = 7.8440 Å, b = 7.8440 Å, c = 7.8440 Å
α = 60.00°, β = 60.00°, γ = 60.00°
With the nearest neighbours (Å) after each atom.
Sites, in units of the cell vectors:
Rb1 0.2500 0.2500 0.2500  12 Cl 3.92
Rb2 0.7500 0.7500 0.7500  12 Cl 3.92
Dy1 0.0000 0.0000 0.0000  6 Cl 2.64
Cd1 0.5000 0.5000 0.5000  6 Cl 2.91
Cl1 0.2378 0.2378 0.7622  1 Dy 2.64, 1 Cd 2.91
Cl2 0.2378 0.7622 0.2378  1 Dy 2.64, 1 Cd 2.91
Cl3 0.2378 0.7622 0.7622  1 Dy 2.64, 1 Cd 2.91
Cl4 0.7622 0.2378 0.2378  1 Dy 2.64, 1 Cd 2.91
Cl5 0.7622 0.2378 0.7622  1 Dy 2.64, 1 Cd 2.91
Cl6 0.7622 0.7622 0.2378  1 Dy 2.64, 1 Cd 2.91



# 5
Density functional theory data (PBE) for an optimized crystal structure of DyTlCd2Cl8.

Properties
Total moment: 0.0 μB per formula unit

a = 6.5408 Å, b = 6.5576 Å, c = 9.0657 Å
α = 80.76°, β = 80.39°, γ = 80.87°
With the nearest neighbours (Å) after each atom.
Sites, in units of the cell vectors:
Dy1 0.0000 0.0000 0.0000  6 Cl 2.65-2.66
Tl1 0.0000 0.0000 0.5000  6 Cl 3.19-3.26
Cd1 0.4455 0.4508 0.7212  5 Cl 2.54-2.68
Cd2 0.5545 0.5492 0.2788  5 Cl 2.54-2.68
Cl1 0.1966 0.7659 0.2154  1 Cd 2.64, 1 Dy 2.66
Cl2 0.2496 0.8180 0.7809  1 Cd 2.63, 1 Dy 2.66
Cl3 0.2603 0.2793 0.9726  1 Cd 2.57, 1 Dy 2.65
Cl4 0.3176 0.3353 0.5018  2 Cd 2.54-2.68
Cl5 0.6824 0.6647 0.4982  2 Cd 2.54-2.68
Cl6 0.7397 0.7207 0.0274  1 Cd 2.57, 1 Dy 2.65
Cl7 0.7504 0.1820 0.2191  1 Cd 2.63, 1 Dy 2.66
Cl8 0.8034 0.2341 0.7846  1 Cd 2.64, 1 Dy 2.66



# 6
Density functional theory data (PBE) for an optimized crystal structure of DyTlCdCl6.

Properties
Total moment: 0.0 μB per formula unit

a = 6.9588 Å, b = 6.9588 Å, c = 14.0091 Å
α = 90.00°, β = 90.00°, γ = 120.00°
With the nearest neighbours (Å) after each atom.
Sites, in units of the cell vectors:
Dy1 0.3333 0.6667 0.2500  6 Cl 2.66
Dy2 0.6667 0.3333 0.7500  6 Cl 2.66
Tl1 0.0000 0.0000 0.0000  6 Cl 3.27
Tl2 0.0000 0.0000 0.5000  6 Cl 3.27
Cd1 0.3333 0.6667 0.7500  6 Cl 2.67
Cd2 0.6667 0.3333 0.2500  6 Cl 2.67
Cl1 0.0015 0.3748 0.1415  1 Dy 2.66, 1 Cd 2.67
Cl2 0.0015 0.6266 0.3585  1 Dy 2.66, 1 Cd 2.67
Cl3 0.3734 0.3748 0.3585  1 Dy 2.66, 1 Cd 2.67
Cl4 0.3734 0.9985 0.1415  1 Dy 2.66, 1 Cd 2.67
Cl5 0.3748 0.0015 0.6415  1 Dy 2.66, 1 Cd 2.67
Cl6 0.3748 0.3734 0.8585  1 Dy 2.66, 1 Cd 2.67
Cl7 0.6252 0.6266 0.1415  1 Dy 2.66, 1 Cd 2.67
Cl8 0.6252 0.9985 0.3585  1 Dy 2.66, 1 Cd 2.67
Cl9 0.6266 0.0015 0.8585  1 Dy 2.66, 1 Cd 2.67
Cl10 0.6266 0.6252 0.6415  1 Dy 2.66, 1 Cd 2.67
Cl11 0.9985 0.3734 0.6415  1 Dy 2.66, 1 Cd 2.67
Cl12 0.9985 0.6252 0.8585  1 Dy 2.66, 1 Cd 2.67



Electronic total energy
In order: -3.809 -3.803 -3.457 -3.621 -3.404 -3.732
Unit: eV per atom
Fermi-level density of states
In order: 0.000 0.000 0.000 0.322 0.000 0.000
Unit: states/eV/atom